[1]
CaAu2Se | PBE | relaxed

a b c (Å): 4.689 3.828 5.419
angles (deg): 80.71 90.00 90.00
Fractional coordinates of all 4 atoms:
Ca 0.500 0.250 0.250
Se 0.500 0.750 0.750
Au 0.000 0.726 0.495
Au 0.000 0.774 0.005

N(E_F) (states/eV/cell): 0.5
Electronic total energy (eV/atom): -3.67
Space group: P2/m



[2]
GePdRh | PBE | relaxed

a b c (Å): 4.179 3.107 7.882
angles (deg): 101.37 105.37 90.00
Fractional coordinates of all 6 atoms:
Pd 0.774 0.482 0.965
Pd 0.505 0.214 0.428
Ge 0.642 0.851 0.702
Ge 0.365 0.574 0.147
Rh 0.961 0.670 0.340
Rh 0.131 0.340 0.681

N(E_F) (states/eV/cell): 3.9
Formation energy (eV per atom): -0.224
Space group: Imm2



[3]
Be3InSb | PBE | relaxed

a b c (Å): 4.753 4.753 4.753
angles (deg): 90.00 90.00 90.00
Fractional coordinates of all 5 atoms:
Be 0.000 0.500 0.000
Be 0.500 0.000 0.000
Be 0.000 0.000 0.500
In 0.500 0.500 0.500
Sb 0.000 0.000 0.000

N(E_F) (states/eV/cell): 2.0
Energy above the most stable polymorph in this dataset (eV/f.u.): 0.000
Space group: Pm-3m



[4]
K4Rb16Na3 | PBE | relaxed

a b c (Å): 10.096 10.096 18.984
angles (deg): 90.00 90.00 90.00
Fractional coordinates of all 23 atoms:
Rb 0.500 0.500 0.192
Rb 0.252 0.748 0.625
Rb 0.500 0.500 0.808
Rb 0.252 0.748 0.375
Rb 0.748 0.748 0.375
Rb 0.000 0.000 0.202
Rb 0.748 0.252 0.625
Rb 0.252 0.252 0.375
Rb 0.268 0.732 0.000
Rb 0.732 0.732 0.000
Rb 0.748 0.748 0.625
Rb 0.268 0.268 0.000
Rb 0.000 0.000 0.798
Rb 0.748 0.252 0.375
Rb 0.732 0.268 0.000
Rb 0.252 0.252 0.625
K 0.500 0.000 0.813
K 0.500 0.000 0.187
K 0.000 0.500 0.813
K 0.000 0.500 0.187
Na 0.000 0.500 0.500
Na 0.000 0.000 0.000
Na 0.500 0.000 0.500

N(E_F) (states/eV/cell): 20.3
Formation energy (eV per atom): 0.045
Space group: P4/mmm



[5]
Pr3Si2Ni9Ge | PBE | relaxed

a b c (Å): 5.993 5.993 8.250
angles (deg): 90.00 90.00 120.00
Fractional coordinates of all 15 atoms:
Ni 0.282 0.141 0.718
Ni 0.000 0.500 0.000
Ni 0.859 0.718 0.718
Ni 0.859 0.141 0.718
Ni 0.500 0.500 0.000
Ni 0.500 0.000 0.000
Ni 0.141 0.282 0.282
Ni 0.718 0.859 0.282
Ni 0.141 0.859 0.282
Ge 0.000 0.000 0.500
Si 0.333 0.667 0.180
Si 0.667 0.333 0.820
Pr 0.000 0.000 0.000
Pr 0.667 0.333 0.346
Pr 0.333 0.667 0.654

N(E_F) (states/eV/cell): 10.3
Electronic total energy (eV/atom): -5.75
Space group: P-3m1



[6]
KH6Pt | PBE | relaxed

a b c (Å): 5.355 5.355 3.778
angles (deg): 110.90 110.90 71.65
Fractional coordinates of all 8 atoms:
H 0.558 0.558 0.106
H 0.459 0.837 0.650
H 0.163 0.541 0.350
H 0.541 0.163 0.350
H 0.442 0.442 0.894
H 0.837 0.459 0.650
Pt 0.500 0.500 0.500
K 0.000 0.000 0.000

N(E_F) (states/eV/cell): 0.9
Energy above the most stable polymorph in this dataset (eV/f.u.): 0.000
Space group: C2/m



[7]
YBe2Pt | PBE | relaxed

a b c (Å): 4.228 3.801 4.352
angles (deg): 90.00 90.00 90.00
Fractional coordinates of all 4 atoms:
Be 0.000 0.250 0.493
Be 0.000 0.250 0.007
Pt 0.500 0.250 0.250
Y 0.500 0.750 0.750

N(E_F) (states/eV/cell): 2.1
Formation energy (eV per atom): -0.380
Energy above the most stable polymorph in this dataset (eV/f.u.): 1.163
Space group: Pmmm



[8]
Sm2ErCr2C4 | PBE | relaxed

a b c (Å): 3.447 6.812 6.020
angles (deg): 108.47 90.00 104.66
Fractional coordinates of all 9 atoms:
Cr 0.680 0.361 0.997
Cr 0.320 0.639 0.003
C 0.786 0.572 0.823
C 0.214 0.428 0.177
C 0.451 0.902 0.234
C 0.549 0.098 0.766
Er 0.000 0.000 0.000
Sm 0.866 0.733 0.459
Sm 0.134 0.267 0.541

N(E_F) (states/eV/cell): 6.2
Formation energy (eV per atom): -0.126
Space group: C2/m



[9]
ZrCoSb | PBE | relaxed

a b c (Å): 5.665 5.665 3.242
angles (deg): 73.37 73.38 33.26
Fractional coordinates of all 3 atoms:
Zr 0.648 0.648 0.352
Sb 0.356 0.356 0.644
Co 0.996 0.996 0.004

N(E_F) (states/eV/cell): 2.4
Electronic total energy (eV/atom): -6.77
Space group: I4mm